Hg2OsBr: optimized geometry, PBE.

abc: 2.997 4.927 5.572
angles: 90.00 90.00 90.00
Atoms (fractional coordinates):
Os 0.500 0.000 0.500
Hg 0.000 0.000 0.000
Hg 0.500 0.500 0.000
Br 0.000 0.500 0.500

Properties
E_form (uncorrected) in eV per atom: 1.04
E above lowest polymorph in meV/atom: 463.7
Size of the total moment in μB/cell: 0.0